Entry 1:
Density functional theory data (PBE) for crystalline HPd3Pb3 at its relaxed geometry.

mass density = 11.52 g/cm³

a = 5.4927 Å, b = 5.4927 Å, c = 15.4782 Å
α = 103.73°, β = 103.73°, γ = 36.91°
Positions (direct):
H (0.2288, 0.2288, 0.0496)
H (0.7712, 0.7712, 0.9504)
Pd (0.3244, 0.3244, 0.9545)
Pd (0.3907, 0.3907, 0.4187)
Pd (0.4980, 0.4980, 0.7318)
Pd (0.5020, 0.5020, 0.2682)
Pd (0.6093, 0.6093, 0.5813)
Pd (0.6756, 0.6756, 0.0455)
Pb (0.0122, 0.0122, 0.8857)
Pb (0.1179, 0.1179, 0.4252)
Pb (0.2241, 0.2241, 0.7361)
Pb (0.7759, 0.7759, 0.2639)
Pb (0.8821, 0.8821, 0.5748)
Pb (0.9878, 0.9878, 0.1143)

Entry 2:
Density functional theory data (PBE) for crystalline HPd3Pb at its relaxed geometry.

mass density = 8.85 g/cm³

a = 3.8780 Å, b = 3.8780 Å, c = 6.5824 Å
α = 90.00°, β = 90.00°, γ = 90.00°
Positions (direct):
H (0.0000, 0.0000, 0.0000)
Pd (0.0000, 0.5000, 0.9889)
Pd (0.5000, 0.0000, 0.9889)
Pd (0.5000, 0.5000, 0.2858)
Pb (0.5000, 0.5000, 0.6801)

Entry 3:
Density functional theory data (PBE) for crystalline HPd6Pb3 at its relaxed geometry.

mass density = 12.26 g/cm³

a = 9.0890 Å, b = 9.0890 Å, c = 4.1590 Å
α = 90.00°, β = 90.00°, γ = 96.17°
Positions (direct):
H (0.2056, 0.7944, 0.5000)
H (0.7944, 0.2056, 0.0000)
Pd (0.0755, 0.9245, 0.5586)
Pd (0.0826, 0.5862, 0.5600)
Pd (0.2472, 0.7528, 0.0629)
Pd (0.2564, 0.4172, 0.0573)
Pd (0.4138, 0.9174, 0.5600)
Pd (0.4172, 0.2564, 0.5573)
Pd (0.5828, 0.7436, 0.0573)
Pd (0.5862, 0.0826, 0.0600)
Pd (0.7436, 0.5828, 0.5573)
Pd (0.7528, 0.2472, 0.5629)
Pd (0.9174, 0.4138, 0.0600)
Pd (0.9245, 0.0755, 0.0586)
Pb (0.0713, 0.2734, 0.5563)
Pb (0.2734, 0.0713, 0.0563)
Pb (0.4013, 0.5987, 0.5602)
Pb (0.5987, 0.4013, 0.0602)
Pb (0.7266, 0.9287, 0.5563)
Pb (0.9287, 0.7266, 0.0563)

Entry 4:
Density functional theory data (PBE) for crystalline HPd3Pb at its relaxed geometry.

mass density = 11.03 g/cm³

a = 5.1920 Å, b = 7.6847 Å, c = 7.9639 Å
α = 90.00°, β = 90.00°, γ = 90.00°
Positions (direct):
H (0.0177, 0.2500, 0.0131)
H (0.4823, 0.7500, 0.5131)
H (0.5177, 0.2500, 0.4869)
H (0.9823, 0.7500, 0.9869)
Pd (0.0333, 0.0707, 0.1613)
Pd (0.0333, 0.4293, 0.1613)
Pd (0.2163, 0.2500, 0.8217)
Pd (0.2837, 0.7500, 0.3217)
Pd (0.4667, 0.5707, 0.6613)
Pd (0.4667, 0.9293, 0.6613)
Pd (0.5333, 0.0707, 0.3387)
Pd (0.5333, 0.4293, 0.3387)
Pd (0.7163, 0.2500, 0.6783)
Pd (0.7837, 0.7500, 0.1783)
Pd (0.9667, 0.5707, 0.8387)
Pd (0.9667, 0.9293, 0.8387)
Pb (0.0000, 0.0000, 0.5000)
Pb (0.0000, 0.5000, 0.5000)
Pb (0.5000, 0.0000, 0.0000)
Pb (0.5000, 0.5000, 0.0000)

Entry 5:
Density functional theory data (PBE) for crystalline H3Pd6Pb at its relaxed geometry.

mass density = 10.81 g/cm³

a = 6.8280 Å, b = 6.8280 Å, c = 3.0567 Å
α = 90.00°, β = 90.00°, γ = 113.82°
Positions (direct):
H (0.0000, 0.0000, 0.0000)
H (0.0000, 0.5000, 0.5000)
H (0.5000, 0.0000, 0.5000)
Pd (0.0599, 0.3111, 0.0000)
Pd (0.2954, 0.7046, 0.5000)
Pd (0.3111, 0.0599, 0.0000)
Pd (0.6889, 0.9401, 0.0000)
Pd (0.7046, 0.2954, 0.5000)
Pd (0.9401, 0.6889, 0.0000)
Pb (0.5000, 0.5000, 0.0000)

Entry 6:
Density functional theory data (PBE) for crystalline H4Pd3Pb2 at its relaxed geometry.

mass density = 9.11 g/cm³

a = 5.4209 Å, b = 5.4209 Å, c = 11.0685 Å
α = 95.47°, β = 95.47°, γ = 122.52°
Positions (direct):
H (0.0433, 0.0681, 0.3637)
H (0.0681, 0.0433, 0.8637)
H (0.1889, 0.6642, 0.1405)
H (0.3358, 0.8111, 0.3595)
H (0.6642, 0.1889, 0.6405)
H (0.8111, 0.3358, 0.8595)
H (0.9319, 0.9567, 0.1363)
H (0.9567, 0.9319, 0.6363)
Pd (0.1222, 0.8778, 0.2500)
Pd (0.1746, 0.4240, 0.3311)
Pd (0.4240, 0.1746, 0.8311)
Pd (0.5760, 0.8254, 0.1689)
Pd (0.8254, 0.5760, 0.6689)
Pd (0.8778, 0.1222, 0.7500)
Pb (0.3036, 0.5581, 0.5975)
Pb (0.4419, 0.6964, 0.9025)
Pb (0.5581, 0.3036, 0.0975)
Pb (0.6964, 0.4419, 0.4025)

Entry 7:
Density functional theory data (PBE) for crystalline H4Pd4Pb at its relaxed geometry.

mass density = 10.42 g/cm³

a = 3.3410 Å, b = 5.2363 Å, c = 6.4293 Å
α = 75.86°, β = 75.19°, γ = 71.55°
Positions (direct):
H (0.1158, 0.4710, 0.3057)
H (0.3019, 0.8401, 0.5553)
H (0.6981, 0.1599, 0.4447)
H (0.8842, 0.5290, 0.6943)
Pd (0.1082, 0.2028, 0.5866)
Pd (0.3036, 0.5800, 0.8093)
Pd (0.6964, 0.4200, 0.1907)
Pd (0.8918, 0.7972, 0.4134)
Pb (0.5000, 0.0000, 0.0000)

Entry 8:
Density functional theory data (PBE) for crystalline HPd4Pb3 at its relaxed geometry.

mass density = 11.58 g/cm³

a = 12.5023 Å, b = 8.2119 Å, c = 5.8589 Å
α = 90.00°, β = 90.00°, γ = 90.00°
Positions (direct):
H (0.1999, 0.2500, 0.0414)
H (0.3001, 0.7500, 0.5414)
H (0.6999, 0.2500, 0.4586)
H (0.8001, 0.7500, 0.9586)
Pd (0.0051, 0.7500, 0.6326)
Pd (0.1204, 0.0665, 0.0388)
Pd (0.1204, 0.4335, 0.0388)
Pd (0.2210, 0.7500, 0.8212)
Pd (0.2790, 0.2500, 0.3212)
Pd (0.3796, 0.5665, 0.5388)
Pd (0.3796, 0.9335, 0.5388)
Pd (0.4949, 0.2500, 0.1326)
Pd (0.5051, 0.7500, 0.8674)
Pd (0.6204, 0.0665, 0.4612)
Pd (0.6204, 0.4335, 0.4612)
Pd (0.7210, 0.7500, 0.6788)
Pd (0.7790, 0.2500, 0.1788)
Pd (0.8796, 0.5665, 0.9612)
Pd (0.8796, 0.9335, 0.9612)
Pd (0.9949, 0.2500, 0.3674)
Pb (0.0551, 0.7500, 0.1499)
Pb (0.1474, 0.0230, 0.5593)
Pb (0.1474, 0.4770, 0.5593)
Pb (0.3526, 0.5230, 0.0593)
Pb (0.3526, 0.9770, 0.0593)
Pb (0.4449, 0.2500, 0.6499)
Pb (0.5551, 0.7500, 0.3501)
Pb (0.6474, 0.0230, 0.9407)
Pb (0.6474, 0.4770, 0.9407)
Pb (0.8526, 0.5230, 0.4407)
Pb (0.8526, 0.9770, 0.4407)
Pb (0.9449, 0.2500, 0.8501)

Entry 9:
Density functional theory data (PBE) for crystalline H4Pd4Pb3 at its relaxed geometry.

mass density = 9.92 g/cm³

a = 8.9608 Å, b = 8.9608 Å, c = 8.9608 Å
α = 160.61°, β = 132.41°, γ = 51.85°
Positions (direct):
H (0.0391, 0.1779, 0.8612)
H (0.3168, 0.1779, 0.1388)
H (0.6832, 0.8221, 0.8612)
H (0.9609, 0.8221, 0.1388)
Pd (0.1798, 0.6798, 0.5000)
Pd (0.3158, 0.0000, 0.3158)
Pd (0.6842, 0.0000, 0.6842)
Pd (0.8202, 0.3202, 0.5000)
Pb (0.0000, 0.5000, 0.5000)
Pb (0.3562, 0.3562, 0.0000)
Pb (0.6438, 0.6438, 0.0000)

Entry 10:
Density functional theory data (PBE) for crystalline HPd3Pb at its relaxed geometry.

mass density = 11.24 g/cm³

a = 5.4219 Å, b = 5.4219 Å, c = 5.9526 Å
α = 90.00°, β = 90.00°, γ = 117.07°
Positions (direct):
H (0.1267, 0.8733, 0.7500)
H (0.8733, 0.1267, 0.2500)
Pd (0.0000, 0.0000, 0.0000)
Pd (0.0000, 0.0000, 0.5000)
Pd (0.0045, 0.5054, 0.2500)
Pd (0.4946, 0.9955, 0.2500)
Pd (0.5054, 0.0045, 0.7500)
Pd (0.9955, 0.4946, 0.7500)
Pb (0.4976, 0.5024, 0.7500)
Pb (0.5024, 0.4976, 0.2500)

no.,E (eV per atom),D(E_F) (states/eV/atom)
1,-4.448,0.39
2,-4.421,0.62
3,-4.766,0.23
4,-4.629,0.39
5,-4.520,0.38
6,-4.094,0.22
7,-4.324,0.24
8,-4.604,0.28
9,-4.044,0.36
10,-4.580,0.37